DFT (GGA-PBE) results for a relaxed structure of YRe2Ag.

Results
E_tot = -33.0 eV for the cell shown
ρ = 12.58 g/cm3

Cell: 2.967 4.166 6.122 Å, 90.00 96.72 90.00°
Space group Pm (No. 6)
Asymmetric unit:
1 Y 0.000 0.000 0.000
2 Re 0.130 0.000 0.551
3 Re 0.501 0.500 0.711
4 Ag 0.565 0.500 0.268